No. 1
The following is a GGA-PBEsol calculation of an optimized crystal structure of ZrTiO4, from Alexandria.

Unit cell a=4.7291 b=5.0828 c=5.6335 alpha=90.00 beta=90.00 gamma=90.00
Space group P2_12_12 (No. 18)
Symmetry-distinct sites (fractional):
Zr  0.0000  0.0000  0.0781 [2 per cell]
Ti  0.0000  0.5000  0.4299 [2 per cell]
O  0.2174  0.6603  0.1491 [4 per cell]
O  0.2364  0.1768  0.3751 [4 per cell]

Calculated values
**Uncorrected formation energy**: -3214 meV per atom
**Fermi-level density of states**: 0.0 states/eV/cell

No. 2
The following is a GGA-PBEsol calculation of an optimized crystal structure of ZrTi2O6, from Alexandria.

Unit cell a=4.7927 b=5.3923 c=14.8703 alpha=92.81 beta=91.66 gamma=90.63
Space group P1 (No. 1)
Symmetry-distinct sites (fractional):
Zr  0.0000  0.0000  0.0000 [1 per cell]
Zr  0.0216  0.9888  0.6702 [1 per cell]
Zr  0.0898  0.4321  0.5204 [1 per cell]
Zr  0.5187  0.9188  0.1893 [1 per cell]
Ti  0.0350  0.4090  0.8487 [1 per cell]
Ti  0.0552  0.3838  0.1766 [1 per cell]
Ti  0.0667  0.0195  0.3488 [1 per cell]
Ti  0.5053  0.9050  0.8459 [1 per cell]
Ti  0.5422  0.5290  0.0135 [1 per cell]
Ti  0.5516  0.5265  0.6840 [1 per cell]
Ti  0.5618  0.8856  0.5066 [1 per cell]
Ti  0.5930  0.5019  0.3384 [1 per cell]
O  0.2365  0.0917  0.7934 [1 per cell]
O  0.2368  0.0988  0.1141 [1 per cell]
O  0.2537  0.3298  0.9526 [1 per cell]
O  0.2959  0.2922  0.6293 [1 per cell]
O  0.2970  0.5950  0.7841 [1 per cell]
O  0.3009  0.0922  0.4562 [1 per cell]
O  0.3028  0.5904  0.1196 [1 per cell]
O  0.3124  0.7742  0.6026 [1 per cell]
O  0.3214  0.7885  0.2977 [1 per cell]
O  0.3318  0.8129  0.9518 [1 per cell]
O  0.3378  0.2785  0.2769 [1 per cell]
O  0.3986  0.5782  0.4479 [1 per cell]
O  0.7254  0.8280  0.7447 [1 per cell]
O  0.7347  0.8157  0.0755 [1 per cell]
O  0.7706  0.1399  0.8956 [1 per cell]
O  0.7895  0.5931  0.2358 [1 per cell]
O  0.7941  0.3222  0.0730 [1 per cell]
O  0.7984  0.6358  0.9132 [1 per cell]
O  0.7997  0.6464  0.5883 [1 per cell]
O  0.8147  0.1254  0.5616 [1 per cell]
O  0.8149  0.3302  0.7352 [1 per cell]
O  0.8149  0.8206  0.4066 [1 per cell]
O  0.8635  0.0988  0.2420 [1 per cell]
O  0.8725  0.3306  0.3987 [1 per cell]

Calculated values
**Uncorrected formation energy**: -3166 meV per atom
**Fermi-level density of states**: 0.0 states/eV/cell

No. 3
The following is a GGA-PBEsol calculation of an optimized crystal structure of Zr3TiO8, from Alexandria.

Unit cell a=5.0255 b=5.0255 c=10.3804 alpha=90.00 beta=90.00 gamma=90.00
Space group I-42m (No. 121)
Symmetry-distinct sites (fractional):
Zr  0.0000  0.0000  0.0000 [2 per cell]
Zr  0.0000  0.5000  0.2500 [4 per cell]
Ti  0.0000  0.0000  0.5000 [2 per cell]
O  0.2083  0.2083  0.1555 [8 per cell]
O  0.2227  0.2227  0.4067 [8 per cell]

Calculated values
**Uncorrected formation energy**: -3359 meV per atom
**Fermi-level density of states**: 0.0 states/eV/cell

No. 4
The following is a GGA-PBEsol calculation of an optimized crystal structure of Tl2O3, from Alexandria.

Unit cell a=10.6025 b=10.6025 c=10.6025 alpha=90.00 beta=90.00 gamma=90.00
Space group Ia-3 (No. 206)
Symmetry-distinct sites (fractional):
Tl  0.0000  0.2500  0.4666 [24 per cell]
Tl  0.2500  0.2500  0.2500 [8 per cell]
O  0.1116  0.1542  0.6170 [48 per cell]

Calculated values
**Uncorrected formation energy**: -706 meV per atom
**Fermi-level density of states**: 48.6 states/eV/cell

No. 5
The following is a GGA-PBEsol calculation of an optimized crystal structure of Tl2O, from Alexandria.

Unit cell a=6.0771 b=3.5121 c=12.6494 alpha=90.00 beta=99.30 gamma=90.00
Space group C2/m (No. 12)
Symmetry-distinct sites (fractional):
Tl  0.1254  0.0000  0.3696 [4 per cell]
Tl  0.2111  0.5000  0.1288 [4 per cell]
O  0.0813  0.5000  0.7504 [4 per cell]

Calculated values
**Uncorrected formation energy**: -552 meV per atom
**Fermi-level density of states**: 0.1 states/eV/cell

No. 6
The following is a GGA-PBEsol calculation of an optimized crystal structure of TmTlO2, from Alexandria.

Unit cell a=3.3936 b=3.3936 c=19.1315 alpha=90.00 beta=90.00 gamma=120.00
Space group R-3m (No. 166, hexagonal axes)
Symmetry-distinct sites (fractional):
Tm  0.0000  0.0000  0.0000 [3 per cell]
Tl  0.0000  0.0000  0.5000 [3 per cell]
O  0.0000  0.0000  0.2763 [6 per cell]

Calculated values
**Uncorrected formation energy**: -2443 meV per atom
**Fermi-level density of states**: 0.0 states/eV/cell

No. 7
The following is a GGA-PBEsol calculation of an optimized crystal structure of TmTlW2O8, from Alexandria.

Unit cell a=10.6411 b=10.3716 c=7.4176 alpha=90.00 beta=130.66 gamma=90.00
Space group C2/c (No. 15)
Symmetry-distinct sites (fractional):
Tm  0.0000  0.2277  0.2500 [4 per cell]
Tl  0.0000  0.2083  0.7500 [4 per cell]
W  0.1982  0.4972  0.2295 [8 per cell]
O  0.0217  0.3905  0.4674 [8 per cell]
O  0.1262  0.0863  0.1895 [8 per cell]
O  0.1916  0.4284  0.9464 [8 per cell]
O  0.2201  0.1586  0.6198 [8 per cell]

Calculated values
**Uncorrected formation energy**: -2385 meV per atom
**Fermi-level density of states**: 0.0 states/eV/cell

No. 8
The following is a GGA-PBEsol calculation of an optimized crystal structure of UTl2O4, from Alexandria.

Unit cell a=4.3047 b=4.3047 c=13.7239 alpha=90.00 beta=90.00 gamma=90.00
Space group I4/mmm (No. 139)
Symmetry-distinct sites (fractional):
U  0.0000  0.0000  0.0000 [2 per cell]
Tl  0.0000  0.0000  0.3433 [4 per cell]
O  0.0000  0.0000  0.1418 [4 per cell]
O  0.0000  0.5000  0.0000 [4 per cell]

Calculated values
**Uncorrected formation energy**: -2068 meV per atom
**Fermi-level density of states**: 0.0 states/eV/cell